No. 1
DFT (PBE-GGA) results for a relaxed structure of Th6Ir2OsSe3.

Lattice parameters (Å, degrees): 18.919 4.140 8.762 90.00 107.96 90.00
Space group C2/m (No. 12)
Unique sites:
Th 0.007 0.000 0.229 (multiplicity 4)
Th 0.157 0.500 0.100 (multiplicity 4)
Th 0.174 0.500 0.565 (multiplicity 4)
Ir 0.167 0.000 0.334 (multiplicity 4)
Os 0.000 0.500 0.000 (multiplicity 2)
Se 0.000 0.500 0.500 (multiplicity 2)
Se 0.167 0.000 0.833 (multiplicity 4)

Summary:
uncorrected formation energy	-1.217	eV/atom
magnetization	0.00	Bohr magnetons per cell

---

No. 2
DFT (PBE-GGA) results for a relaxed structure of Nb2TlC.

Lattice parameters (Å, degrees): 6.404 6.404 6.404 90.00 90.00 90.00
Space group Fm-3m (No. 225)
Unique sites:
Nb 0.250 0.250 0.250 (multiplicity 8)
Tl 0.000 0.000 0.000 (multiplicity 4)
C 0.000 0.000 0.500 (multiplicity 4)

Summary:
calculated formation energy	30.207	kcal/mol of atoms
magnetization	0.00	Bohr magnetons per cell

---

No. 3
DFT (PBE-GGA) results for a relaxed structure of GdBeC.

Lattice parameters (Å, degrees): 3.3516 3.3516 3.8806 90.00 90.00 120.00
Space group P-6m2 (No. 187)
Unique sites:
Gd 0.0000 0.0000 0.0000 (multiplicity 1)
Be 0.6667 0.3333 0.5000 (multiplicity 1)
C 0.3333 0.6667 0.5000 (multiplicity 1)

Summary:
calculated formation energy	-4.672	kcal/mol of atoms
magnetization	7.79	Bohr magnetons per cell

---

Ordered N(E_F) results: 0.770; 2.008; 0.382; unit states/eV/atom.
Ordered raw total energy results: -197.1; -106.0; -27.6; unit eV per cell.